CdFeMo2 | PBE | relaxed

As for the formation energy: 0.41 eV/atom. As for the crystal system: tetragonal. The value obtained for the total moment is 2.6 μB/f.u. The calculated total energy comes out at -7.35 eV/atom. The density of states at the Fermi level is 0.71 states/eV/atom.

The space group is P4/mmm (No. 123) and the conventional cell measures 3.8026, 3.8026 and 4.3505 Å, with angles of 90.00, 90.00 and 90.00 degrees. The asymmetric unit holds Cd at (0.0000, 0.0000, 0.0000), Fe at (0.5000, 0.5000, 0.0000) and Mo at (0.0000, 0.5000, 0.5000).